1.
Material: Cs2Rb3NpO6
Method: DFT, GGA-PBE
State: optimized geometry

Cell: 7.1420 7.1420 6.7372 Å, 100.56 100.56 120.05°
Last column: nearest neighbours and their distance in Å.
Fractional coordinates of all 12 atoms:
Cs (0.1681, 0.8319, 0.0000)  6 O 3.03-3.09
Cs (0.8319, 0.1681, 0.0000)  6 O 3.03-3.09
Rb (0.0000, 0.0000, 0.5000)  4 O 2.84
Rb (0.3449, 0.6551, 0.5000)  4 O 2.79-2.84
Rb (0.6551, 0.3449, 0.5000)  4 O 2.79-2.84
Np (0.5000, 0.5000, 0.0000)  6 O 2.05
O (0.2031, 0.4359, 0.8051)  1 Np 2.05
O (0.3275, 0.3275, 0.1852)  1 Np 2.05
O (0.4359, 0.2031, 0.8051)  1 Np 2.05
O (0.5641, 0.7969, 0.1949)  1 Np 2.05
O (0.6725, 0.6725, 0.8148)  1 Np 2.05
O (0.7969, 0.5641, 0.1949)  1 Np 2.05

Summary:
- SG = No. 12
- raw formation energy (meV per atom) = -1989



2.
Material: Cs2RbNpO6
Method: DFT, GGA-PBE
State: optimized geometry

Cell: 6.7526 6.7526 6.7565 Å, 119.96 119.96 60.02°
Last column: nearest neighbours and their distance in Å.
Fractional coordinates of all 10 atoms:
Cs (0.2498, 0.2498, 0.2497)  12 O 3.40-3.41
Cs (0.7502, 0.7502, 0.7503)  12 O 3.40-3.41
Rb (0.0000, 0.0000, 0.5000)  6 O 2.81
Np (0.5000, 0.5000, 0.0000)  6 O 1.96
O (0.2943, 0.7054, 0.2052)  1 Np 1.96
O (0.2946, 0.2946, 0.7949)  1 Np 1.96
O (0.2946, 0.7057, 0.7948)  1 Np 1.96
O (0.7054, 0.2943, 0.2052)  1 Np 1.96
O (0.7054, 0.7054, 0.2051)  1 Np 1.96
O (0.7057, 0.2946, 0.7948)  1 Np 1.96

Summary:
- SG = No. 12
- raw formation energy (meV per atom) = -1884



3.
Material: CsRb4Np3O12
Method: DFT, GGA-PBE
State: optimized geometry

Cell: 7.8216 7.8216 7.8216 Å, 109.47 109.47 109.47°
Last column: nearest neighbours and their distance in Å.
Fractional coordinates of all 20 atoms:
Cs (0.0000, 0.0000, 0.0000)  6 O 2.67
Rb (0.0000, 0.0000, 0.5000)  12 O 3.19-3.22
Rb (0.0000, 0.5000, 0.0000)  12 O 3.19-3.22
Rb (0.5000, 0.0000, 0.0000)  12 O 3.19-3.22
Rb (0.5000, 0.5000, 0.5000)  12 O 3.19-3.22
Np (0.0000, 0.5000, 0.5000)  2 O 1.85
Np (0.5000, 0.0000, 0.5000)  2 O 1.85
Np (0.5000, 0.5000, 0.0000)  2 O 1.85
O (0.0000, 0.2957, 0.2957)  1 Np 1.85
O (0.0000, 0.7043, 0.7043)  1 Np 1.85
O (0.2500, 0.5000, 0.7500)  2 Np 2.26
O (0.2500, 0.7500, 0.5000)  2 Np 2.26
O (0.2957, 0.0000, 0.2957)  1 Np 1.85
O (0.2957, 0.2957, 0.0000)  1 Np 1.85
O (0.5000, 0.2500, 0.7500)  2 Np 2.26
O (0.5000, 0.7500, 0.2500)  2 Np 2.26
O (0.7043, 0.0000, 0.7043)  1 Np 1.85
O (0.7043, 0.7043, 0.0000)  1 Np 1.85
O (0.7500, 0.2500, 0.5000)  2 Np 2.26
O (0.7500, 0.5000, 0.2500)  2 Np 2.26

Summary:
- SG = No. 229
- raw formation energy (meV per atom) = -2414



4.
Material: CsNpRe2O8
Method: DFT, GGA-PBE
State: optimized geometry

Cell: 6.0875 6.0875 8.5102 Å, 90.00 90.00 120.00°
Last column: nearest neighbours and their distance in Å.
Fractional coordinates of all 12 atoms:
Cs (0.0000, 0.0000, 0.0000)  12 O 3.41-3.55
Np (0.0000, 0.0000, 0.5000)  6 O 2.26
Re (0.3333, 0.6667, 0.7345)  4 O 1.77-1.83
Re (0.6667, 0.3333, 0.2655)  4 O 1.77-1.83
O (0.1650, 0.3411, 0.6598)  1 Re 1.83
O (0.1762, 0.8350, 0.6598)  1 Re 1.83
O (0.3333, 0.6667, 0.9419)  1 Re 1.77
O (0.3411, 0.1762, 0.3402)  1 Re 1.83
O (0.6589, 0.8238, 0.6598)  1 Re 1.83
O (0.6667, 0.3333, 0.0581)  1 Re 1.77
O (0.8238, 0.1650, 0.3402)  1 Re 1.83
O (0.8350, 0.6589, 0.3402)  1 Re 1.83

Summary:
- SG = No. 147
- raw formation energy (meV per atom) = -1887



5.
Material: Cs2NpRe3O12
Method: DFT, GGA-PBE
State: optimized geometry

Cell: 7.5669 7.5669 7.5669 Å, 58.13 58.13 58.13°
Last column: nearest neighbours and their distance in Å.
Fractional coordinates of all 18 atoms:
Cs (0.1205, 0.1205, 0.1205)  6 O 3.27-3.36
Cs (0.8795, 0.8795, 0.8795)  6 O 3.27-3.36
Np (0.5000, 0.5000, 0.5000)  6 O 2.11
Re (0.0000, 0.5000, 0.5000)  6 O 1.92-1.96
Re (0.5000, 0.0000, 0.5000)  6 O 1.92-1.96
Re (0.5000, 0.5000, 0.0000)  6 O 1.92-1.96
O (0.1647, 0.5711, 0.5711)  1 Re 1.96, 1 Np 2.11
O (0.1974, 0.1974, 0.5669)  2 Re 1.92
O (0.1974, 0.5669, 0.1974)  2 Re 1.92
O (0.4289, 0.4289, 0.8353)  1 Re 1.96, 1 Np 2.11
O (0.4289, 0.8353, 0.4289)  1 Re 1.96, 1 Np 2.11
O (0.4331, 0.8026, 0.8026)  2 Re 1.92
O (0.5669, 0.1974, 0.1974)  2 Re 1.92
O (0.5711, 0.1647, 0.5711)  1 Re 1.96, 1 Np 2.11
O (0.5711, 0.5711, 0.1647)  1 Re 1.96, 1 Np 2.11
O (0.8026, 0.4331, 0.8026)  2 Re 1.92
O (0.8026, 0.8026, 0.4331)  2 Re 1.92
O (0.8353, 0.4289, 0.4289)  1 Re 1.96, 1 Np 2.11

Summary:
- SG = No. 166
- raw formation energy (meV per atom) = -1945



6.
Material: CsNpReO6
Method: DFT, GGA-PBE
State: optimized geometry

Cell: 7.6197 7.6197 7.6197 Å, 121.88 118.06 90.09°
Last column: nearest neighbours and their distance in Å.
Fractional coordinates of all 18 atoms:
Cs (0.3642, 0.1142, 0.2500)  12 O 3.35-3.73
Cs (0.6358, 0.8858, 0.7500)  12 O 3.35-3.73
Np (0.0000, 0.5000, 0.5000)  6 O 2.11-2.12
Np (0.5000, 0.5000, 0.0000)  6 O 2.11-2.12
Re (0.0000, 0.0000, 0.5000)  6 O 1.90-1.94
Re (0.0000, 0.5000, 0.0000)  6 O 1.90-1.94
O (0.0410, 0.7910, 0.2500)  2 Re 1.90
O (0.0507, 0.4218, 0.2206)  1 Re 1.94, 1 Np 2.11
O (0.0507, 0.8301, 0.6289)  1 Re 1.94, 1 Np 2.11
O (0.2988, 0.1699, 0.7206)  1 Re 1.94, 1 Np 2.11
O (0.2988, 0.5782, 0.1289)  1 Re 1.94, 1 Np 2.11
O (0.3244, 0.5744, 0.7500)  2 Np 2.12
O (0.6756, 0.4256, 0.2500)  2 Np 2.12
O (0.7012, 0.4218, 0.8711)  1 Re 1.94, 1 Np 2.11
O (0.7012, 0.8301, 0.2794)  1 Re 1.94, 1 Np 2.11
O (0.9493, 0.1699, 0.3711)  1 Re 1.94, 1 Np 2.11
O (0.9493, 0.5782, 0.7794)  1 Re 1.94, 1 Np 2.11
O (0.9590, 0.2090, 0.7500)  2 Re 1.90

Summary:
- SG = No. 74
- raw formation energy (meV per atom) = -2221



Copy entry 5 word for word.
Material: Cs2NpRe3O12
Method: DFT, GGA-PBE
State: optimized geometry

Cell: 7.5669 7.5669 7.5669 Å, 58.13 58.13 58.13°
Last column: nearest neighbours and their distance in Å.
Fractional coordinates of all 18 atoms:
Cs (0.1205, 0.1205, 0.1205)  6 O 3.27-3.36
Cs (0.8795, 0.8795, 0.8795)  6 O 3.27-3.36
Np (0.5000, 0.5000, 0.5000)  6 O 2.11
Re (0.0000, 0.5000, 0.5000)  6 O 1.92-1.96
Re (0.5000, 0.0000, 0.5000)  6 O 1.92-1.96
Re (0.5000, 0.5000, 0.0000)  6 O 1.92-1.96
O (0.1647, 0.5711, 0.5711)  1 Re 1.96, 1 Np 2.11
O (0.1974, 0.1974, 0.5669)  2 Re 1.92
O (0.1974, 0.5669, 0.1974)  2 Re 1.92
O (0.4289, 0.4289, 0.8353)  1 Re 1.96, 1 Np 2.11
O (0.4289, 0.8353, 0.4289)  1 Re 1.96, 1 Np 2.11
O (0.4331, 0.8026, 0.8026)  2 Re 1.92
O (0.5669, 0.1974, 0.1974)  2 Re 1.92
O (0.5711, 0.1647, 0.5711)  1 Re 1.96, 1 Np 2.11
O (0.5711, 0.5711, 0.1647)  1 Re 1.96, 1 Np 2.11
O (0.8026, 0.4331, 0.8026)  2 Re 1.92
O (0.8026, 0.8026, 0.4331)  2 Re 1.92
O (0.8353, 0.4289, 0.4289)  1 Re 1.96, 1 Np 2.11

Summary:
- SG = No. 166
- raw formation energy (meV per atom) = -1945



Question: What is the raw formation energy in the fifth record?
Answer: -1945 meV per atom



What did the sixth record say?
Material: CsNpReO6
Method: DFT, GGA-PBE
State: optimized geometry

Cell: 7.6197 7.6197 7.6197 Å, 121.88 118.06 90.09°
Last column: nearest neighbours and their distance in Å.
Fractional coordinates of all 18 atoms:
Cs (0.3642, 0.1142, 0.2500)  12 O 3.35-3.73
Cs (0.6358, 0.8858, 0.7500)  12 O 3.35-3.73
Np (0.0000, 0.5000, 0.5000)  6 O 2.11-2.12
Np (0.5000, 0.5000, 0.0000)  6 O 2.11-2.12
Re (0.0000, 0.0000, 0.5000)  6 O 1.90-1.94
Re (0.0000, 0.5000, 0.0000)  6 O 1.90-1.94
O (0.0410, 0.7910, 0.2500)  2 Re 1.90
O (0.0507, 0.4218, 0.2206)  1 Re 1.94, 1 Np 2.11
O (0.0507, 0.8301, 0.6289)  1 Re 1.94, 1 Np 2.11
O (0.2988, 0.1699, 0.7206)  1 Re 1.94, 1 Np 2.11
O (0.2988, 0.5782, 0.1289)  1 Re 1.94, 1 Np 2.11
O (0.3244, 0.5744, 0.7500)  2 Np 2.12
O (0.6756, 0.4256, 0.2500)  2 Np 2.12
O (0.7012, 0.4218, 0.8711)  1 Re 1.94, 1 Np 2.11
O (0.7012, 0.8301, 0.2794)  1 Re 1.94, 1 Np 2.11
O (0.9493, 0.1699, 0.3711)  1 Re 1.94, 1 Np 2.11
O (0.9493, 0.5782, 0.7794)  1 Re 1.94, 1 Np 2.11
O (0.9590, 0.2090, 0.7500)  2 Re 1.90

Summary:
- SG = No. 74
- raw formation energy (meV per atom) = -2221



Question: Look up the raw formation energy of the fifth one.
Answer: -1945 meV per atom